(1)
# Re2PCl | Alexandria via LeMat-Bulk | PBE-GGA | optimized geometry
data_Re2PCl
_chemical_formula_sum 'Re4 P2 Cl2'
_space_group_name_H-M_alt 'I -4 m 2'
_space_group_IT_number 119
_space_group_name_Hall 'I -4 -2'
_cell_length_a 4.0022
_cell_length_b 4.0022
_cell_length_c 7.4366
_cell_angle_alpha 90.00
_cell_angle_beta 90.00
_cell_angle_gamma 90.00
loop_
_atom_site_label
_atom_site_type_symbol
_atom_site_fract_x
_atom_site_fract_y
_atom_site_fract_z
Re1 Re 0.0000 0.0000 0.0000
Re2 Re 0.0000 0.5000 0.2500
P1 P 0.0000 0.0000 0.5000
Cl1 Cl 0.0000 0.5000 0.7500
# Mass density in g/cm3: 12.24
# Polymorph energy (0 for the lowest one) in meV/atom: 1035.5
# Raw formation energy in eV/atom: 1.061
# DOS at the Fermi energy in states/eV/f.u.: 3.29

(2)
# Ba3Cd2Pd7 | Alexandria via LeMat-Bulk | PBE-GGA | optimized geometry
data_Ba3Cd2Pd7
_chemical_formula_sum 'Ba9 Cd6 Pd21'
_space_group_name_H-M_alt 'R -3 m'
_space_group_IT_number 166
_space_group_name_Hall '-R 3 2"'
_cell_length_a 5.8470
_cell_length_b 5.8470
_cell_length_c 27.0833
_cell_angle_alpha 90.00
_cell_angle_beta 90.00
_cell_angle_gamma 120.00
loop_
_atom_site_label
_atom_site_type_symbol
_atom_site_fract_x
_atom_site_fract_y
_atom_site_fract_z
Ba1 Ba 0.0000 0.0000 0.0000
Ba2 Ba 0.0000 0.0000 0.1393
Cd1 Cd 0.0000 0.0000 0.3328
Pd1 Pd 0.0000 0.0000 0.5000
Pd2 Pd 0.0019 0.5009 0.0822
# ΔE_f in kcal/mol of atoms: -12.19
# Mass density in g/cm3: 8.58
# DOS at the Fermi energy in states/eV/f.u.: 3.97

(3)
# Tm2AgIr | Alexandria via LeMat-Bulk | PBE-GGA | optimized geometry
data_Tm2AgIr
_chemical_formula_sum 'Tm2 Ag1 Ir1'
_space_group_name_H-M_alt 'P 4/m m m'
_space_group_IT_number 123
_space_group_name_Hall '-P 4 2'
_cell_length_a 3.4392
_cell_length_b 3.4392
_cell_length_c 7.2485
_cell_angle_alpha 90.00
_cell_angle_beta 90.00
_cell_angle_gamma 90.00
loop_
_atom_site_label
_atom_site_type_symbol
_atom_site_fract_x
_atom_site_fract_y
_atom_site_fract_z
Tm1 Tm 0.0000 0.0000 0.2240
Ag1 Ag 0.5000 0.5000 0.5000
Ir1 Ir 0.5000 0.5000 0.0000
# ΔE_f in kcal/mol of atoms: -15.01
# Mass density in g/cm3: 12.36
# Polymorph energy (0 for the lowest one) in meV/atom: 15.5
# DOS at the Fermi energy in states/eV/f.u.: 4.30

(4)
# Cs2RuCl6O | Alexandria via LeMat-Bulk | PBE-GGA | optimized geometry
data_Cs2RuCl6O
_chemical_formula_sum 'Cs4 Ru2 Cl12 O2'
_space_group_name_H-M_alt 'I 4/m m m'
_space_group_IT_number 139
_space_group_name_Hall '-I 4 2'
_cell_length_a 7.3091
_cell_length_b 7.3091
_cell_length_c 11.1340
_cell_angle_alpha 90.00
_cell_angle_beta 90.00
_cell_angle_gamma 90.00
loop_
_atom_site_label
_atom_site_type_symbol
_atom_site_fract_x
_atom_site_fract_y
_atom_site_fract_z
Cs1 Cs 0.0000 0.5000 0.2500
Ru1 Ru 0.0000 0.0000 0.0000
Cl1 Cl 0.0000 0.0000 0.2112
Cl2 Cl 0.2281 0.2281 0.0000
O1 O 0.0000 0.0000 0.5000
# Mass density in g/cm3: 3.33
# Raw formation energy in eV/atom: -0.840
# DOS at the Fermi energy in states/eV/f.u.: 17.72